First-principles (PBE) data for a relaxed KBC crystal, as listed in the Alexandria database.

a b c (Å): 5.6731 4.3833 4.4598
angles (deg): 90.00 90.00 90.00
Atoms (fractional coordinates):
C  0.7500  0.5000  0.4616
C  0.2500  0.5000  0.5384
K  0.7500  0.0000  0.8804
K  0.2500  0.0000  0.1196
B  0.5000  0.5000  0.5000
B  0.0000  0.5000  0.5000

## Properties
DOS at the Fermi energy (states/eV/atom): 0.00
Formation enthalpy at 0 K (eV/atom): 0.112
Magnetization (μB/cell): 0.00
ρ (g/cm3): 1.9